No. 1
Here is crystalline Tl2Cr2I7 at its relaxed geometry from Alexandria via LeMat-Bulk. Energies are from PBE-GGA.

Lattice parameters (Å, degrees): 9.1841 9.1841 7.3524 95.67 95.67 122.54
Fractional coordinates of all 11 atoms:
Tl1 0.2037 0.7963 0.0000
Tl2 0.7963 0.2037 0.0000
Cr1 0.2210 0.2210 0.6275
Cr2 0.7790 0.7790 0.3725
I1 0.0596 0.0596 0.2641
I2 0.0967 0.4204 0.7155
I3 0.4204 0.0967 0.7155
I4 0.5000 0.5000 0.5000
I5 0.5796 0.9033 0.2845
I6 0.9033 0.5796 0.2845
I7 0.9404 0.9404 0.7359

## Properties
SG: C2/m (12)
ΔE_f (raw), eV/f.u.: -3.9
DFT total energy, eV/atom: -3.5213

No. 2
Here is crystalline Tl3CrI6 at its relaxed geometry from Alexandria via LeMat-Bulk. Energies are from PBE-GGA.

Lattice parameters (Å, degrees): 7.9214 8.8310 13.6197 90.00 121.66 90.00
Fractional coordinates of all 20 atoms:
Tl1 0.0000 0.0000 0.0000
Tl2 0.0000 0.5000 0.5000
Tl3 0.1984 0.0873 0.7394
Tl4 0.1984 0.4127 0.2394
Tl5 0.8016 0.5873 0.7606
Tl6 0.8016 0.9127 0.2606
Cr1 0.5000 0.0000 0.5000
Cr2 0.5000 0.5000 0.0000
I1 0.1706 0.1610 0.4592
I2 0.1706 0.3390 0.9592
I3 0.2792 0.7335 0.4308
I4 0.2792 0.7665 0.9308
I5 0.4036 0.0515 0.2771
I6 0.4036 0.4485 0.7771
I7 0.5964 0.5515 0.2229
I8 0.5964 0.9485 0.7229
I9 0.7208 0.2335 0.0692
I10 0.7208 0.2665 0.5692
I11 0.8294 0.6610 0.0408
I12 0.8294 0.8390 0.5408

## Properties
SG: P2_1/c (14)
ΔE_f (raw), eV/f.u.: -5.2
DFT total energy, eV/atom: -3.1273

No. 3
Here is crystalline TlCrI2 at its relaxed geometry from Alexandria via LeMat-Bulk. Energies are from PBE-GGA.

Lattice parameters (Å, degrees): 5.6824 5.6824 5.6824 60.00 60.00 60.00
Fractional coordinates of all 4 atoms:
Tl1 0.0000 0.0000 0.0000
Cr1 0.5000 0.5000 0.5000
I1 0.2500 0.2500 0.2500
I2 0.7500 0.7500 0.7500

## Properties
SG: Fm-3m (225)
ΔE_f (raw), eV/f.u.: 0.3
DFT total energy, eV/atom: -3.6995
Polymorph energy (0 for the lowest one), kJ/mol of formula units: 84.6

No. 4
Here is crystalline TlCrI3 at its relaxed geometry from Alexandria via LeMat-Bulk. Energies are from PBE-GGA.

Lattice parameters (Å, degrees): 5.6635 5.6635 5.6635 90.00 90.00 90.00
Fractional coordinates of all 5 atoms:
Tl1 0.0000 0.0000 0.0000
Cr1 0.5000 0.5000 0.5000
I1 0.0000 0.5000 0.5000
I2 0.5000 0.0000 0.5000
I3 0.5000 0.5000 0.0000

## Properties
SG: Pm-3m (221)
ΔE_f (raw), eV/f.u.: -1.8
DFT total energy, eV/atom: -3.6975
Polymorph energy (0 for the lowest one), kJ/mol of formula units: 0.0

No. 5
Here is crystalline Tl3Cr5I12 at its relaxed geometry from Alexandria via LeMat-Bulk. Energies are from PBE-GGA.

Lattice parameters (Å, degrees): 15.8769 15.8769 15.8769 109.47 109.47 109.47
Fractional coordinates of all 80 atoms:
Tl1 0.1250 0.2500 0.3750
Tl2 0.1250 0.3750 0.7500
Tl3 0.2500 0.3750 0.1250
Tl4 0.2500 0.8750 0.6250
Tl5 0.3750 0.1250 0.2500
Tl6 0.3750 0.7500 0.1250
Tl7 0.6250 0.2500 0.8750
Tl8 0.6250 0.8750 0.7500
Tl9 0.7500 0.1250 0.3750
Tl10 0.7500 0.6250 0.8750
Tl11 0.8750 0.6250 0.2500
Tl12 0.8750 0.7500 0.6250
Cr1 0.0000 0.0000 0.0000
Cr2 0.0000 0.0000 0.5000
Cr3 0.0000 0.5000 0.0000
Cr4 0.0000 0.5000 0.5000
Cr5 0.1250 0.7500 0.8750
Cr6 0.1250 0.8750 0.2500
Cr7 0.2500 0.1250 0.8750
Cr8 0.2500 0.6250 0.3750
Cr9 0.3750 0.2500 0.6250
Cr10 0.3750 0.6250 0.7500
Cr11 0.5000 0.0000 0.0000
Cr12 0.5000 0.0000 0.5000
Cr13 0.5000 0.5000 0.0000
Cr14 0.5000 0.5000 0.5000
Cr15 0.6250 0.3750 0.2500
Cr16 0.6250 0.7500 0.3750
Cr17 0.7500 0.3750 0.6250
Cr18 0.7500 0.8750 0.1250
Cr19 0.8750 0.1250 0.7500
Cr20 0.8750 0.2500 0.1250
I1 0.0180 0.1948 0.1123
I2 0.0180 0.3232 0.9057
I3 0.0825 0.6948 0.6768
I4 0.0825 0.8877 0.4057
I5 0.0943 0.6123 0.4175
I6 0.0943 0.9820 0.6768
I7 0.1123 0.0180 0.1948
I8 0.1123 0.5943 0.9175
I9 0.1768 0.1948 0.5825
I10 0.1768 0.4820 0.5943
I11 0.1948 0.1123 0.0180
I12 0.1948 0.5825 0.1768
I13 0.3052 0.3232 0.9175
I14 0.3052 0.4820 0.3877
I15 0.3232 0.9057 0.0180
I16 0.3232 0.9175 0.3052
I17 0.3877 0.3052 0.4820
I18 0.3877 0.5825 0.9057
I19 0.4057 0.0825 0.8877
I20 0.4057 0.8232 0.5180
I21 0.4175 0.0943 0.6123
I22 0.4175 0.8232 0.8052
I23 0.4820 0.3877 0.3052
I24 0.4820 0.5943 0.1768
I25 0.5180 0.4057 0.8232
I26 0.5180 0.6123 0.6948
I27 0.5825 0.1768 0.1948
I28 0.5825 0.9057 0.3877
I29 0.5943 0.1768 0.4820
I30 0.5943 0.9175 0.1123
I31 0.6123 0.4175 0.0943
I32 0.6123 0.6948 0.5180
I33 0.6768 0.0825 0.6948
I34 0.6768 0.0943 0.9820
I35 0.6948 0.5180 0.6123
I36 0.6948 0.6768 0.0825
I37 0.8052 0.4175 0.8232
I38 0.8052 0.8877 0.9820
I39 0.8232 0.5180 0.4057
I40 0.8232 0.8052 0.4175
I41 0.8877 0.4057 0.0825
I42 0.8877 0.9820 0.8052
I43 0.9057 0.0180 0.3232
I44 0.9057 0.3877 0.5825
I45 0.9175 0.1123 0.5943
I46 0.9175 0.3052 0.3232
I47 0.9820 0.6768 0.0943
I48 0.9820 0.8052 0.8877

## Properties
SG: Ia-3d (230)
ΔE_f (raw), eV/f.u.: -6.3
DFT total energy, eV/atom: -4.0065

No. 6
Here is crystalline TlCrI2 at its relaxed geometry from Alexandria via LeMat-Bulk. Energies are from PBE-GGA.

Lattice parameters (Å, degrees): 7.2782 7.2782 7.2782 109.40 109.40 109.60
Fractional coordinates of all 8 atoms:
Tl1 0.0000 0.0000 0.0000
Tl2 0.7500 0.2500 0.5000
Cr1 0.2500 0.7500 0.5000
Cr2 0.5000 0.5000 0.0000
I1 0.1915 0.6250 0.0665
I2 0.3750 0.4415 0.5665
I3 0.5585 0.1250 0.9335
I4 0.8750 0.8085 0.4335

## Properties
SG: I-42d (122)
ΔE_f (raw), eV/f.u.: -0.6
DFT total energy, eV/atom: -3.9187
Polymorph energy (0 for the lowest one), kJ/mol of formula units: 0.0

No. 7
Here is crystalline Tl2CrI at its relaxed geometry from Alexandria via LeMat-Bulk. Energies are from PBE-GGA.

Lattice parameters (Å, degrees): 10.3251 10.3251 10.3251 148.04 148.04 45.83
Fractional coordinates of all 8 atoms:
Tl1 0.0253 0.6250 0.9003
Tl2 0.3750 0.2753 0.4003
Tl3 0.7247 0.1250 0.0997
Tl4 0.8750 0.9747 0.5997
Cr1 0.0000 0.0000 0.0000
Cr2 0.7500 0.2500 0.5000
I1 0.2500 0.7500 0.5000
I2 0.5000 0.5000 0.0000

## Properties
SG: I-42d (122)
ΔE_f (raw), eV/f.u.: 1.8
DFT total energy, eV/atom: -3.5190
Polymorph energy (0 for the lowest one), kJ/mol of formula units: 0.0

No. 8
Here is crystalline Tl3CrI at its relaxed geometry from Alexandria via LeMat-Bulk. Energies are from PBE-GGA.

Lattice parameters (Å, degrees): 5.5201 5.5201 5.5201 90.00 90.00 90.00
Fractional coordinates of all 5 atoms:
Tl1 0.0000 0.0000 0.5000
Tl2 0.0000 0.5000 0.0000
Tl3 0.5000 0.0000 0.0000
Cr1 0.0000 0.0000 0.0000
I1 0.5000 0.5000 0.5000

## Properties
SG: Pm-3m (221)
ΔE_f (raw), eV/f.u.: 1.0
DFT total energy, eV/atom: -3.4481
Polymorph energy (0 for the lowest one), kJ/mol of formula units: 0.0

No. 9
Here is crystalline Tl2CrI6 at its relaxed geometry from Alexandria via LeMat-Bulk. Energies are from PBE-GGA.

Lattice parameters (Å, degrees): 7.7325 8.0361 13.4108 90.00 123.72 90.00
Fractional coordinates of all 18 atoms:
Tl1 0.2097 0.0778 0.2437
Tl2 0.2097 0.4222 0.7437
Tl3 0.7903 0.5778 0.2563
Tl4 0.7903 0.9222 0.7563
Cr1 0.5000 0.0000 0.0000
Cr2 0.5000 0.5000 0.5000
I1 0.1732 0.1910 0.9596
I2 0.1732 0.3090 0.4596
I3 0.2728 0.7173 0.9571
I4 0.2728 0.7827 0.4571
I5 0.3564 0.0149 0.7631
I6 0.3564 0.4851 0.2631
I7 0.6436 0.5149 0.7369
I8 0.6436 0.9851 0.2369
I9 0.7272 0.2173 0.5429
I10 0.7272 0.2827 0.0429
I11 0.8268 0.6910 0.5404
I12 0.8268 0.8090 0.0404

## Properties
SG: P2_1/c (14)
ΔE_f (raw), eV/f.u.: -3.8
DFT total energy, eV/atom: -3.0490

No. 10
Here is crystalline TlCrI2 at its relaxed geometry from Alexandria via LeMat-Bulk. Energies are from PBE-GGA.

Lattice parameters (Å, degrees): 10.5935 10.5935 10.5935 22.07 22.07 22.07
Fractional coordinates of all 4 atoms:
Tl1 0.0000 0.0000 0.0000
Cr1 0.5000 0.5000 0.5000
I1 0.1129 0.1129 0.1129
I2 0.8871 0.8871 0.8871

## Properties
SG: R-3m (166)
ΔE_f (raw), eV/f.u.: -0.4
DFT total energy, eV/atom: -3.8799
Polymorph energy (0 for the lowest one), kJ/mol of formula units: 15.0

No. 11
Here is crystalline TlCrI4 at its relaxed geometry from Alexandria via LeMat-Bulk. Energies are from PBE-GGA.

Lattice parameters (Å, degrees): 9.5208 9.5208 7.1701 99.05 99.05 111.94
Fractional coordinates of all 12 atoms:
Tl1 0.2439 0.7561 0.7500
Tl2 0.7561 0.2439 0.2500
Cr1 0.4364 0.5636 0.2500
Cr2 0.5636 0.4364 0.7500
I1 0.1470 0.5177 0.3023
I2 0.2932 0.4127 0.8655
I3 0.4127 0.2932 0.3655
I4 0.4823 0.8530 0.1977
I5 0.5177 0.1470 0.8023
I6 0.5873 0.7068 0.6345
I7 0.7068 0.5873 0.1345
I8 0.8530 0.4823 0.6977

## Properties
SG: C2/c (15)
ΔE_f (raw), eV/f.u.: -2.7
DFT total energy, eV/atom: -3.4865
Polymorph energy (0 for the lowest one), kJ/mol of formula units: 0.0

No. 12
Here is crystalline Tl2CrI4 at its relaxed geometry from Alexandria via LeMat-Bulk. Energies are from PBE-GGA.

Lattice parameters (Å, degrees): 9.4936 9.4936 9.4936 145.10 145.10 50.18
Fractional coordinates of all 7 atoms:
Tl1 0.1346 0.1346 0.0000
Tl2 0.8654 0.8654 0.0000
Cr1 0.5000 0.5000 0.0000
I1 0.0000 0.5000 0.5000
I2 0.3372 0.3372 0.0000
I3 0.5000 0.0000 0.5000
I4 0.6628 0.6628 0.0000

## Properties
SG: I4/mmm (139)
ΔE_f (raw), eV/f.u.: -3.3
DFT total energy, eV/atom: -3.4021

Question: Among the records above, which one has the highest DFT total energy?
Answer: Tl2CrI6

Question: What is the DFT total energy in the second record?
Answer: -3.1273 eV/atom

Copy entry 1 word for word.
Here is crystalline Tl2Cr2I7 at its relaxed geometry from Alexandria via LeMat-Bulk. Energies are from PBE-GGA.

Lattice parameters (Å, degrees): 9.1841 9.1841 7.3524 95.67 95.67 122.54
Fractional coordinates of all 11 atoms:
Tl1 0.2037 0.7963 0.0000
Tl2 0.7963 0.2037 0.0000
Cr1 0.2210 0.2210 0.6275
Cr2 0.7790 0.7790 0.3725
I1 0.0596 0.0596 0.2641
I2 0.0967 0.4204 0.7155
I3 0.4204 0.0967 0.7155
I4 0.5000 0.5000 0.5000
I5 0.5796 0.9033 0.2845
I6 0.9033 0.5796 0.2845
I7 0.9404 0.9404 0.7359

## Properties
SG: C2/m (12)
ΔE_f (raw), eV/f.u.: -3.9
DFT total energy, eV/atom: -3.5213